(1)
# Ti4NO2, optimized geometry, DFT PBE
data_Ti4NO2
_space_group_name_H-M_alt 'I 4/m m m'
_space_group_IT_number 139
_space_group_name_Hall '-I 4 2'
_cell_length_a 4.034
_cell_length_b 4.034
_cell_length_c 10.694
_cell_angle_alpha 90.00
_cell_angle_beta 90.00
_cell_angle_gamma 90.00
loop_
_atom_site_label
_atom_site_type_symbol
_atom_site_fract_x
_atom_site_fract_y
_atom_site_fract_z
_atom_site_occupancy
Ti1 Ti 0.000 0.000 0.230 1
Ti2 Ti 0.000 0.500 0.000 1
N1 N 0.000 0.000 0.000 1
O1 O 0.000 0.000 0.400 1
# Final energy, eV/atom: -8.506
# ρ, g cm⁻³: 4.53

(2)
# TiN2O2, optimized geometry, DFT PBE
data_TiN2O2
_space_group_name_H-M_alt 'P 4/m m m'
_space_group_IT_number 123
_space_group_name_Hall '-P 4 2'
_cell_length_a 3.496
_cell_length_b 3.496
_cell_length_c 3.476
_cell_angle_alpha 90.00
_cell_angle_beta 90.00
_cell_angle_gamma 90.00
loop_
_atom_site_label
_atom_site_type_symbol
_atom_site_fract_x
_atom_site_fract_y
_atom_site_fract_z
_atom_site_occupancy
Ti1 Ti 0.000 0.000 0.000 1
N1 N 0.000 0.500 0.500 1
O1 O 0.500 0.500 0.000 1
O2 O 0.500 0.500 0.500 1
# ρ, g cm⁻³: 4.22
# Distance to the lowest polymorph of the same formula, meV per atom: 2707.9

(3)
# Ti5N2O, optimized geometry, DFT PBE
data_Ti5N2O
_space_group_name_H-M_alt 'C m c m'
_space_group_IT_number 63
_space_group_name_Hall '-C 2c 2'
_cell_length_a 4.137
_cell_length_b 9.581
_cell_length_c 10.120
_cell_angle_alpha 90.00
_cell_angle_beta 90.00
_cell_angle_gamma 90.00
loop_
_atom_site_label
_atom_site_type_symbol
_atom_site_fract_x
_atom_site_fract_y
_atom_site_fract_z
_atom_site_occupancy
Ti1 Ti 0.000 0.045 0.121 1
Ti2 Ti 0.000 0.235 0.750 1
Ti3 Ti 0.000 0.334 0.062 1
N1 N 0.000 0.155 0.555 1
O1 O 0.000 0.221 0.250 1
# Final energy, eV/atom: -9.069
# ρ, g cm⁻³: 4.69

(4)
# Ti8N2O, optimized geometry, DFT PBE
data_Ti8N2O
_space_group_name_H-M_alt 'C 1 2/m 1'
_space_group_IT_number 12
_cell_length_a 10.277
_cell_length_b 5.942
_cell_length_c 5.139
_cell_angle_alpha 90.00
_cell_angle_beta 109.72
_cell_angle_gamma 90.00
loop_
_space_group_symop_operation_xyz
'x,y,z'
'-x,-y,-z'
'-x,y,-z'
'x,-y,z'
'x+1/2,y+1/2,z'
'-x+1/2,-y+1/2,-z'
'-x+1/2,y+1/2,-z'
'x+1/2,-y+1/2,z'
loop_
_atom_site_label
_atom_site_type_symbol
_atom_site_fract_x
_atom_site_fract_y
_atom_site_fract_z
_atom_site_occupancy
Ti1 Ti 0.124 0.000 0.239 1
Ti2 Ti 0.127 0.254 0.755 1
Ti3 Ti 0.128 0.500 0.255 1
N1 N 0.248 0.000 0.992 1
O1 O 0.000 0.500 0.500 1
# Final energy, eV/atom: -8.863
# ρ, g cm⁻³: 4.80

> Number 3 is which compound?

Ti5N2O